Pr5HoTl5 | Alexandria | GGA-PBE | optimized geometry; E = -42.19 eV per cell; space-group type = C2/m; density of states at the Fermi level = 13.20 states/eV/f.u.; E_form = -0.171 eV/atom
1.0
9.122 -2.931 0.000
9.122 2.931 0.000
-2.866 0.000 6.654
Pr Ho Tl
5 1 5
direct
0.000 0.000 0.000
0.310 0.310 0.309
0.361 0.361 0.860
0.639 0.639 0.140
0.690 0.690 0.691
0.000 0.000 0.500
0.160 0.160 0.885
0.161 0.161 0.436
0.500 0.500 0.500
0.839 0.839 0.564
0.840 0.840 0.115

PrHo5Tl2 | Alexandria | GGA-PBE | optimized geometry; E = -66.84 eV per cell; space-group type = Immm; density of states at the Fermi level = 11.34 states/eV/f.u.; E_form = -0.127 eV/atom
1.0
3.665 0.000 0.000
0.000 10.421 0.000
0.000 0.000 12.727
Pr Ho Tl
2 10 4
direct
0.000 0.000 0.000
0.500 0.500 0.500
0.000 0.226 0.365
0.000 0.226 0.635
0.000 0.500 0.000
0.000 0.774 0.365
0.000 0.774 0.635
0.500 0.000 0.500
0.500 0.274 0.135
0.500 0.274 0.865
0.500 0.726 0.135
0.500 0.726 0.865
0.000 0.500 0.259
0.000 0.500 0.741
0.500 0.000 0.241
0.500 0.000 0.759

PrHoTl4 | Alexandria | GGA-PBE | optimized geometry; E = -20.26 eV per cell; space-group type = Pm; density of states at the Fermi level = 3.18 states/eV/f.u.; E_form = -0.240 eV/atom
1.0
3.824 0.000 0.000
0.000 5.114 0.000
-0.071 0.000 8.789
Pr Ho Tl
1 1 4
direct
0.000 0.000 0.000
0.002 0.500 0.498
0.348 0.000 0.661
0.379 0.500 0.171
0.627 0.500 0.826
0.650 0.000 0.338